(1)
## AlSi2Tc2 (PBE-GGA)

Data for crystalline AlSi2Tc2 at its relaxed geometry.

## Properties
Offset from the most stable computed form (eV per atom): 0.3071
Space group: I4/mmm (139)
Energy (eV/atom): -7.124

extended XYZ file:
```
5
Lattice="-2.0943 2.0943 4.5748 2.0943 -2.0943 4.5748 2.0943 2.0943 -4.5748" Properties=species:S:1:pos:R:3 pbc="T T T"
Al 0.0000 0.0000 0.0000
Si 0.0000 0.0000 3.4470
Si 0.0000 0.0000 5.7025
Tc 2.0943 0.0000 2.2874
Tc 0.0000 2.0943 2.2874
```



(2)
## Al2SiTc (PBE-GGA)

Data for crystalline Al2SiTc at its relaxed geometry.

## Properties
Space group: F-43m (216)
Energy (eV/atom): -5.785

extended XYZ file:
```
4
Lattice="0.0000 3.0511 3.0511 3.0511 0.0000 3.0511 3.0511 3.0511 0.0000" Properties=species:S:1:pos:R:3 pbc="T T T"
Al 0.0000 0.0000 0.0000
Al 1.5255 1.5255 1.5255
Si 4.5766 4.5766 4.5766
Tc 3.0511 3.0511 3.0511
```



(3)
## TmAlSi (PBE-GGA)

Data for crystalline TmAlSi at its relaxed geometry.

## Properties
Space group: P-62m (189)
Energy (eV/atom): -4.757

extended XYZ file:
```
9
Lattice="7.3336 0.0000 0.0000 -3.6668 6.3511 0.0000 0.0000 0.0000 3.9725" Properties=species:S:1:pos:R:3 pbc="T T T"
Tm -1.0076 1.7452 0.0000
Tm 2.0152 0.0000 0.0000
Tm 2.6592 4.6059 0.0000
Al -2.1929 3.7981 1.9862
Al 1.4740 2.5530 1.9862
Al 4.3857 0.0000 1.9862
Si 0.0000 0.0000 1.9862
Si 0.0000 4.2341 0.0000
Si 3.6668 2.1170 0.0000
```



(4)
## TmAlSi (PBE-GGA)

Data for crystalline TmAlSi at its relaxed geometry.

## Properties
Space group: F-43m (216)
Energy (eV/atom): -4.719

extended XYZ file:
```
3
Lattice="0.0000 3.1614 3.1614 3.1614 0.0000 3.1614 3.1614 3.1614 0.0000" Properties=species:S:1:pos:R:3 pbc="T T T"
Tm 0.0000 0.0000 0.0000
Al 3.1614 3.1614 3.1614
Si 4.7420 4.7420 4.7420
```



Question: The highest energy belongs to which entry?
Answer: number 4



Question: Look up the energy of the third one.
Answer: -4.757 eV/atom